[1]
Density functional theory data (PBE) for a relaxed Cu2OF crystal.

Summary:
**ρ**: 5239 kg/m3
**Final energy**: -4.5252 eV/atom
**Volume**: 51.38 Å³/f.u.
**Uncorrected formation energy**: -74 kJ per mole of atoms
**Energy above the most stable polymorph in this dataset**: 1 meV/atom

Geometry as CIF:
```
data_Cu2OF
_cell_length_a 4.408
_cell_length_b 4.408
_cell_length_c 10.576
_cell_angle_alpha 90.00
_cell_angle_beta 90.00
_cell_angle_gamma 90.00
_symmetry_space_group_name_H-M 'I -4 2 d'
_symmetry_Int_Tables_number 122
_symmetry_space_group_name_Hall 'I -4 2bw'
loop_
_atom_site_label
_atom_site_type_symbol
_atom_site_fract_x
_atom_site_fract_y
_atom_site_fract_z
_atom_site_occupancy
Cu1 Cu 0.171 0.250 0.125 1
O1 O 0.000 0.000 0.000 1
F1 F 0.000 0.000 0.500 1
```



[2]
Density functional theory data (PBE) for a relaxed Si2AgRu2 crystal.

Summary:
**ρ**: 8012 kg/m3
**Final energy**: -6.6053 eV/atom
**Volume**: 75.89 Å³/f.u.
**Uncorrected formation energy**: -15 kJ per mole of atoms
**Energy above the most stable polymorph in this dataset**: 215 meV/atom

Geometry as CIF:
```
data_Si2AgRu2
_cell_length_a 3.563
_cell_length_b 3.563
_cell_length_c 11.958
_cell_angle_alpha 90.00
_cell_angle_beta 90.00
_cell_angle_gamma 90.00
_symmetry_space_group_name_H-M 'I 4/m m m'
_symmetry_Int_Tables_number 139
_symmetry_space_group_name_Hall '-I 4 2'
loop_
_atom_site_label
_atom_site_type_symbol
_atom_site_fract_x
_atom_site_fract_y
_atom_site_fract_z
_atom_site_occupancy
Si1 Si 0.000 0.500 0.250 1
Ag1 Ag 0.000 0.000 0.000 1
Ru1 Ru 0.000 0.000 0.385 1
```



[3]
Density functional theory data (PBE) for a relaxed Cd2IrBr crystal.

Summary:
**ρ**: 8878 kg/m3
**Final energy**: -2.9303 eV/atom
**Volume**: 92.95 Å³/f.u.
**Uncorrected formation energy**: 16 kJ per mole of atoms
**Energy above the most stable polymorph in this dataset**: 142 meV/atom

Geometry as CIF:
```
data_Cd2IrBr
_cell_length_a 3.144
_cell_length_b 4.581
_cell_length_c 12.904
_cell_angle_alpha 90.00
_cell_angle_beta 90.00
_cell_angle_gamma 90.00
_symmetry_space_group_name_H-M 'I m m 2'
_symmetry_Int_Tables_number 44
_symmetry_space_group_name_Hall 'I 2 -2'
loop_
_atom_site_label
_atom_site_type_symbol
_atom_site_fract_x
_atom_site_fract_y
_atom_site_fract_z
_atom_site_occupancy
Cd1 Cd 0.000 0.000 0.000 1
Cd2 Cd 0.000 0.500 0.163 1
Ir1 Ir 0.000 0.000 0.488 1
Br1 Br 0.000 0.500 0.809 1
```



[4]
Density functional theory data (PBE) for a relaxed Li2ZnPt crystal.

Summary:
**ρ**: 7447 kg/m3
**Final energy**: -3.0817 eV/atom
**Volume**: 61.18 Å³/f.u.
**ΔH_f (0 K)**: -1.2 eV/f.u.

Geometry as CIF:
```
data_Li2ZnPt
_cell_length_a 3.644
_cell_length_b 3.644
_cell_length_c 18.426
_cell_angle_alpha 90.00
_cell_angle_beta 90.00
_cell_angle_gamma 90.00
_symmetry_space_group_name_H-M 'I -4 2 d'
_symmetry_Int_Tables_number 122
_symmetry_space_group_name_Hall 'I -4 2bw'
loop_
_atom_site_label
_atom_site_type_symbol
_atom_site_fract_x
_atom_site_fract_y
_atom_site_fract_z
_atom_site_occupancy
Li1 Li 0.237 0.250 0.125 1
Zn1 Zn 0.000 0.000 0.500 1
Pt1 Pt 0.000 0.000 0.000 1
```



[5]
Density functional theory data (PBE) for a relaxed TlPtIN2 crystal.

Summary:
**ρ**: 7245 kg/m3
**Final energy**: -4.0492 eV/atom
**Volume**: 127.06 Å³/f.u.
**Uncorrected formation energy**: 123 kJ per mole of atoms
**Energy above the most stable polymorph in this dataset**: 0 meV/atom

Geometry as CIF:
```
data_TlPtIN2
_cell_length_a 4.044
_cell_length_b 4.044
_cell_length_c 7.769
_cell_angle_alpha 90.00
_cell_angle_beta 90.00
_cell_angle_gamma 90.00
_symmetry_space_group_name_H-M 'P 4/m m m'
_symmetry_Int_Tables_number 123
_symmetry_space_group_name_Hall '-P 4 2'
loop_
_atom_site_label
_atom_site_type_symbol
_atom_site_fract_x
_atom_site_fract_y
_atom_site_fract_z
_atom_site_occupancy
Tl1 Tl 0.000 0.000 0.000 1
Pt1 Pt 0.500 0.500 0.500 1
I1 I 0.500 0.500 0.000 1
N1 N 0.000 0.500 0.500 1
```



[6]
Density functional theory data (PBE) for a relaxed Tb2PuSn crystal.

Summary:
**ρ**: 9487 kg/m3
**Final energy**: -6.8310 eV/atom
**Volume**: 119.12 Å³/f.u.
**Energy above the most stable polymorph in this dataset**: 390 meV/atom
**ΔH_f (0 K)**: 0.3 eV/f.u.

Geometry as CIF:
```
data_Tb2PuSn
_cell_length_a 3.4232
_cell_length_b 3.4232
_cell_length_c 35.2159
_cell_angle_alpha 90.00
_cell_angle_beta 90.00
_cell_angle_gamma 120.00
_symmetry_space_group_name_H-M 'R -3 m'
_symmetry_Int_Tables_number 166
_symmetry_space_group_name_Hall '-R 3 2"'
loop_
_atom_site_label
_atom_site_type_symbol
_atom_site_fract_x
_atom_site_fract_y
_atom_site_fract_z
_atom_site_occupancy
Tb1 Tb 0.0000 0.0000 0.0932 1
Pu1 Pu 0.0000 0.0000 0.0000 1
Sn1 Sn 0.0000 0.0000 0.5000 1
```